{"formula": "La8AsIr3I4", "functional": "PBE", "state": "relaxed", "lattice_angstrom": [[4.327, 2.498, 8.145], [-4.327, 2.498, 8.145], [0.000, -4.997, 8.145]], "species": ["La", "La", "La", "La", "La", "La", "La", "La", "As", "Ir", "Ir", "Ir", "I", "I", "I", "I"], "frac_coords": [[0.214, 0.737, 0.737], [0.229, 0.229, 0.229], [0.263, 0.263, 0.786], [0.263, 0.786, 0.263], [0.737, 0.214, 0.737], [0.737, 0.737, 0.214], [0.771, 0.771, 0.771], [0.786, 0.263, 0.263], [0.500, 0.500, 0.500], [0.000, 0.000, 0.500], [0.000, 0.500, 0.000], [0.500, 0.000, 0.000], [0.000, 0.000, 0.000], [0.000, 0.500, 0.500], [0.500, 0.000, 0.500], [0.500, 0.500, 0.000]], "n_ef_per_ev_cell": 10.48, "magnetic_moment_mub_per_atom": 0.00, "total_energy_ev_per_atom": -5.94, "space_group": "R-3m, No. 166"}

=====

{"formula": "La6AsIr2I3", "functional": "PBE", "state": "relaxed", "lattice_angstrom": [[3.753, -6.504, 0.000], [3.753, 6.504, 0.000], [-2.483, 0.000, 8.124]], "species": ["La", "La", "La", "La", "La", "La", "As", "Ir", "Ir", "I", "I", "I"], "frac_coords": [[0.087, 0.436, 0.810], [0.214, 0.214, 0.190], [0.436, 0.087, 0.810], [0.564, 0.913, 0.190], [0.786, 0.786, 0.810], [0.913, 0.564, 0.190], [0.500, 0.500, 0.000], [0.167, 0.833, 0.000], [0.833, 0.167, 0.000], [0.000, 0.000, 0.500], [0.337, 0.663, 0.500], [0.663, 0.337, 0.500]], "n_ef_per_ev_cell": 5.78, "magnetic_moment_mub_per_atom": 0.00, "total_energy_ev_per_atom": -5.89, "space_group": "C2/m, No. 12"}

=====

{"formula": "AsIrI2N", "functional": "PBE", "state": "relaxed", "lattice_angstrom": [[5.647, 0.000, 0.000], [0.000, 5.647, 0.000], [0.000, 0.000, 3.542]], "species": ["As", "Ir", "I", "I", "N"], "frac_coords": [[0.000, 0.000, 0.000], [0.500, 0.500, 0.500], [0.000, 0.500, 0.000], [0.500, 0.000, 0.000], [0.000, 0.000, 0.500]], "n_ef_per_ev_cell": 5.58, "magnetic_moment_mub_per_atom": 0.00, "total_energy_ev_per_atom": -3.53, "space_group": "P4/mmm, No. 123"}

=====

{"formula": "AsIrI2N", "functional": "PBE", "state": "relaxed", "lattice_angstrom": [[5.632, 0.000, 0.000], [0.000, 5.632, 0.000], [0.000, 0.000, 3.701]], "species": ["As", "Ir", "I", "I", "N"], "frac_coords": [[0.000, 0.000, 0.000], [0.500, 0.500, 0.500], [0.000, 0.500, 0.500], [0.500, 0.000, 0.500], [0.500, 0.500, 0.000]], "n_ef_per_ev_cell": 3.21, "magnetic_moment_mub_per_atom": 0.00, "total_energy_ev_per_atom": -4.34, "space_group": "P4/mmm, No. 123"}

=====

{"formula": "Nd4AsIrI2", "functional": "PBE", "state": "relaxed", "lattice_angstrom": [[7.737, 0.000, 0.000], [0.000, 4.199, 0.000], [-2.360, 0.000, 7.846]], "species": ["Nd", "Nd", "Nd", "Nd", "As", "Ir", "I", "I"], "frac_coords": [[0.210, 0.000, 0.185], [0.258, 0.500, 0.807], [0.742, 0.500, 0.193], [0.790, 0.000, 0.815], [0.500, 0.000, 0.000], [0.000, 0.500, 0.000], [0.000, 0.000, 0.500], [0.500, 0.500, 0.500]], "n_ef_per_ev_cell": 5.20, "magnetic_moment_mub_per_atom": 0.00, "total_energy_ev_per_atom": -5.55, "space_group": "P2/m, No. 10"}

=====

{"formula": "Nd6AsIr2I3", "functional": "PBE", "state": "relaxed", "lattice_angstrom": [[3.711, -6.425, 0.000], [3.711, 6.425, 0.000], [-2.456, 0.000, 8.009]], "species": ["Nd", "Nd", "Nd", "Nd", "Nd", "Nd", "As", "Ir", "Ir", "I", "I", "I"], "frac_coords": [[0.089, 0.437, 0.812], [0.213, 0.213, 0.187], [0.437, 0.089, 0.812], [0.563, 0.911, 0.188], [0.787, 0.787, 0.813], [0.911, 0.563, 0.188], [0.500, 0.500, 0.000], [0.167, 0.833, 0.000], [0.833, 0.167, 0.000], [0.000, 0.000, 0.500], [0.337, 0.663, 0.500], [0.663, 0.337, 0.500]], "n_ef_per_ev_cell": 2.67, "magnetic_moment_mub_per_atom": 0.00, "total_energy_ev_per_atom": -5.69, "space_group": "C2/m, No. 12"}

=====

{"formula": "Nd8AsIr3I4", "functional": "PBE", "state": "relaxed", "lattice_angstrom": [[4.280, 2.471, 8.024], [-4.280, 2.471, 8.024], [0.000, -4.942, 8.024]], "species": ["Nd", "Nd", "Nd", "Nd", "Nd", "Nd", "Nd", "Nd", "As", "Ir", "Ir", "Ir", "I", "I", "I", "I"], "frac_coords": [[0.213, 0.736, 0.736], [0.228, 0.228, 0.228], [0.264, 0.264, 0.787], [0.264, 0.787, 0.264], [0.736, 0.213, 0.736], [0.736, 0.736, 0.213], [0.772, 0.772, 0.772], [0.787, 0.264, 0.264], [0.500, 0.500, 0.500], [0.000, 0.000, 0.500], [0.000, 0.500, 0.000], [0.500, 0.000, 0.000], [0.000, 0.000, 0.000], [0.000, 0.500, 0.500], [0.500, 0.000, 0.500], [0.500, 0.500, 0.000]], "n_ef_per_ev_cell": 9.02, "magnetic_moment_mub_per_atom": 0.00, "total_energy_ev_per_atom": -5.74, "space_group": "R-3m, No. 166"}

=====

{"formula": "AsIrIO2", "functional": "PBE", "state": "relaxed", "lattice_angstrom": [[3.816, 0.000, 0.000], [0.000, 3.816, 0.000], [0.000, 0.000, 8.493]], "species": ["As", "Ir", "I", "O", "O"], "frac_coords": [[0.000, 0.000, 0.000], [0.500, 0.500, 0.500], [0.500, 0.500, 0.000], [0.000, 0.500, 0.500], [0.500, 0.000, 0.500]], "n_ef_per_ev_cell": 2.47, "magnetic_moment_mub_per_atom": 0.01, "total_energy_ev_per_atom": -4.92, "space_group": "P4/mmm, No. 123"}

=====

Number 1: E_form (uncorrected) -1.14 eV per atom. Number 2: E_form (uncorrected) -1.17 eV per atom. Number 3: E_form (uncorrected) 1.46 eV per atom. Number 4: E_form (uncorrected) 0.65 eV per atom. Number 5: E_form (uncorrected) -1.09 eV per atom. Number 6: E_form (uncorrected) -1.06 eV per atom. Number 7: E_form (uncorrected) -1.01 eV per atom. Number 8: E_form (uncorrected) 0.08 eV per atom.